<1>
Compound: Dy6Er2In
Source: Alexandria via LeMat-Bulk
Functional: PBE
Structure: optimized geometry

```
data_Dy6Er2In
_symmetry_space_group_name_H-M 'I m m m'
_symmetry_Int_Tables_number 71
_symmetry_space_group_name_Hall '-I 2 2'
_cell_length_a 3.4638
_cell_length_b 10.1152
_cell_length_c 15.8046
_cell_angle_alpha 90.00
_cell_angle_beta 90.00
_cell_angle_gamma 90.00
loop_
_atom_site_label
_atom_site_type_symbol
_atom_site_fract_x
_atom_site_fract_y
_atom_site_fract_z
_atom_site_occupancy
Dy1 Dy 0.0000 0.1631 0.1766 1
Dy2 Dy 0.0000 0.1937 0.5000 1
Er1 Er 0.0000 0.5000 0.1551 1
In1 In 0.0000 0.0000 0.0000 1
```

Summary:
The calculation puts the magnetic moment at 0.00 μB/f.u.

<2>
Compound: Dy6Er2In
Source: Alexandria via LeMat-Bulk
Functional: PBE
Structure: optimized geometry

```
data_Dy6Er2In
_symmetry_space_group_name_H-M 'C 1 2/c 1'
_symmetry_Int_Tables_number 15
_cell_length_a 14.8688
_cell_length_b 8.4635
_cell_length_c 9.0387
_cell_angle_alpha 90.00
_cell_angle_beta 100.42
_cell_angle_gamma 90.00
loop_
_symmetry_equiv_pos_as_xyz
'x,y,z'
'-x,-y,-z'
'-x,y,-z+1/2'
'x,-y,z+1/2'
'x+1/2,y+1/2,z'
'-x+1/2,-y+1/2,-z'
'-x+1/2,y+1/2,-z+1/2'
'x+1/2,-y+1/2,z+1/2'
loop_
_atom_site_label
_atom_site_type_symbol
_atom_site_fract_x
_atom_site_fract_y
_atom_site_fract_z
_atom_site_occupancy
Dy1 Dy 0.0836 0.1913 0.1226 1
Dy2 Dy 0.1143 0.4478 0.8297 1
Dy3 Dy 0.1420 0.2286 0.5270 1
Er1 Er 0.2216 0.0845 0.8601 1
In1 In 0.0000 0.1213 0.7500 1
```

Summary:
The calculation puts the magnetic moment at 0.00 μB/f.u.

The most stable arrangement is <1>, and the next structure is 51 meV per atom less stable.

<1>
Compound: Dy3Er3In2
Source: Alexandria via LeMat-Bulk
Functional: PBE
Structure: optimized geometry

```
data_Dy3Er3In2
_symmetry_space_group_name_H-M 'C m c m'
_symmetry_Int_Tables_number 63
_symmetry_space_group_name_Hall '-C 2c 2'
_cell_length_a 5.1550
_cell_length_b 11.7388
_cell_length_c 15.6826
_cell_angle_alpha 90.00
_cell_angle_beta 90.00
_cell_angle_gamma 90.00
loop_
_atom_site_label
_atom_site_type_symbol
_atom_site_fract_x
_atom_site_fract_y
_atom_site_fract_z
_atom_site_occupancy
Dy1 Dy 0.0000 0.0337 0.2500 1
Dy2 Dy 0.0000 0.1430 0.5307 1
Er1 Er 0.0000 0.2487 0.7500 1
Er2 Er 0.0000 0.4590 0.6029 1
In1 In 0.0000 0.2766 0.1440 1
```

Summary:
The calculation puts the magnetic moment at 0.00 μB/f.u.

<2>
Compound: Dy3Er3In2
Source: Alexandria via LeMat-Bulk
Functional: PBE
Structure: optimized geometry

```
data_Dy3Er3In2
_symmetry_space_group_name_H-M 'P m m m'
_symmetry_Int_Tables_number 47
_cell_length_a 4.8207
_cell_length_b 4.8224
_cell_length_c 9.6460
_cell_angle_alpha 90.00
_cell_angle_beta 90.00
_cell_angle_gamma 90.00
loop_
_symmetry_equiv_pos_as_xyz
'x,y,z'
'-x,-y,-z'
'-x,-y,z'
'x,y,-z'
'x,-y,-z'
'-x,y,z'
'-x,y,-z'
'x,-y,z'
loop_
_atom_site_label
_atom_site_type_symbol
_atom_site_fract_x
_atom_site_fract_y
_atom_site_fract_z
_atom_site_occupancy
Dy1 Dy 0.0000 0.0000 0.0000 1
Dy2 Dy 0.0000 0.0000 0.5000 1
Dy3 Dy 0.5000 0.5000 0.0000 1
Er1 Er 0.0000 0.5000 0.2506 1
Er2 Er 0.5000 0.5000 0.5000 1
In1 In 0.5000 0.0000 0.2506 1
```

Summary:
The calculation puts the magnetic moment at 0.01 μB/f.u.

The most stable arrangement is <2>, and the next structure is 113 meV per atom less stable.